[1]
LaIr2W, relaxed, DFT GGA-PBE; relative energy among the computed polymorphs = 0.386 eV per atom; energy of formation from the pure elements = 0.12 eV per atom; crystal system = orthorhombic
1.0
2.8788 0.0000 0.0000
0.0000 3.9351 0.0000
0.0000 0.0000 6.8858
La Ir W
1 2 1
direct
0.0000 0.0000 0.0000
0.0000 0.0000 0.5050
0.5000 0.5000 0.7283
0.5000 0.5000 0.3541



[2]
LaIr2W, relaxed, DFT GGA-PBE; relative energy among the computed polymorphs = 0.649 eV per atom; energy of formation from the pure elements = 0.39 eV per atom; crystal system = cubic
1.0
0.0000 3.3029 3.3029
3.3029 0.0000 3.3029
3.3029 3.3029 0.0000
La Ir W
1 2 1
direct
0.0000 0.0000 0.0000
0.2500 0.2500 0.2500
0.5000 0.5000 0.5000
0.7500 0.7500 0.7500



[3]
La2IrW, relaxed, DFT GGA-PBE; relative energy among the computed polymorphs = 0.025 eV per atom; energy of formation from the pure elements = -0.03 eV per atom; crystal system = monoclinic
1.0
4.7152 0.0000 0.0000
0.0000 4.2863 0.0000
-2.3549 0.0000 5.3384
La Ir W
2 1 1
direct
0.0000 0.0000 0.0000
0.3022 0.5000 0.6032
0.5906 0.5000 0.1829
0.7036 0.0000 0.4050



[4]
La2IrW, relaxed, DFT GGA-PBE; relative energy among the computed polymorphs = 0.362 eV per atom; energy of formation from the pure elements = 0.31 eV per atom; crystal system = orthorhombic
1.0
3.2636 0.0000 0.0000
0.0000 3.9199 0.0000
0.0000 0.0000 7.3782
La Ir W
2 1 1
direct
0.0000 0.0000 0.2353
0.0000 0.0000 0.7647
0.5000 0.5000 0.0000
0.5000 0.5000 0.5000



[5]
La2IrW, relaxed, DFT GGA-PBE; relative energy among the computed polymorphs = 0.399 eV per atom; energy of formation from the pure elements = 0.35 eV per atom; crystal system = orthorhombic
1.0
3.6116 -4.0411 0.0000
3.6116 4.0411 0.0000
0.0000 0.0000 3.1900
La Ir W
2 1 1
direct
0.0000 0.5000 0.0000
0.5000 0.0000 0.0000
0.0000 0.0000 0.5000
0.5000 0.5000 0.5000



[6]
La2IrW, relaxed, DFT GGA-PBE; relative energy among the computed polymorphs = 0.595 eV per atom; energy of formation from the pure elements = 0.54 eV per atom; crystal system = trigonal
1.0
1.8751 1.0826 8.4312
-1.8751 1.0826 8.4312
0.0000 -2.1652 8.4312
La Ir W
2 1 1
direct
0.2413 0.2413 0.2413
0.7587 0.7587 0.7587
0.5000 0.5000 0.5000
0.0000 0.0000 0.0000



[7]
La2IrW, relaxed, DFT GGA-PBE; relative energy among the computed polymorphs = 0.400 eV per atom; energy of formation from the pure elements = 0.35 eV per atom; crystal system = cubic
1.0
0.0000 3.5039 3.5039
3.5039 0.0000 3.5039
3.5039 3.5039 0.0000
La Ir W
2 1 1
direct
0.0000 0.0000 0.0000
0.2500 0.2500 0.2500
0.5000 0.5000 0.5000
0.7500 0.7500 0.7500



[8]
LaIr2W, relaxed, DFT GGA-PBE; relative energy among the computed polymorphs = 0.327 eV per atom; energy of formation from the pure elements = 0.07 eV per atom; crystal system = monoclinic
1.0
4.8646 -1.4910 0.0000
4.8646 1.4910 0.0000
-0.7500 0.0000 5.2718
La Ir W
1 2 1
direct
0.0000 0.0000 0.0000
0.4910 0.4910 0.5104
0.7596 0.7596 0.2414
0.2162 0.2162 0.6274



[9]
LaIr2W, relaxed, DFT GGA-PBE; relative energy among the computed polymorphs = 0.538 eV per atom; energy of formation from the pure elements = 0.28 eV per atom; crystal system = tetragonal
1.0
4.3898 0.0000 0.0000
0.0000 4.3898 0.0000
0.0000 0.0000 3.8869
La Ir W
1 2 1
direct
0.0000 0.0000 0.0000
0.0000 0.5000 0.5000
0.5000 0.0000 0.5000
0.5000 0.5000 0.0000



[10]
La2IrW, relaxed, DFT GGA-PBE; relative energy among the computed polymorphs = 0.450 eV per atom; energy of formation from the pure elements = 0.40 eV per atom; crystal system = orthorhombic
1.0
-2.0297 2.6035 4.4011
2.0297 -2.6035 4.4011
2.0297 2.6035 -4.4011
La Ir W
2 1 1
direct
0.2264 0.2264 0.0000
0.7736 0.7736 0.0000
0.0000 0.5000 0.5000
0.5000 0.0000 0.5000



[11]
LaIrW3, relaxed, DFT GGA-PBE; relative energy among the computed polymorphs = 0.000 eV per atom; energy of formation from the pure elements = 1.35 eV per atom; crystal system = cubic
1.0
4.8751 0.0000 0.0000
0.0000 4.8751 0.0000
0.0000 0.0000 4.8751
La Ir W
1 1 3
direct
0.0000 0.0000 0.0000
0.5000 0.5000 0.5000
0.0000 0.5000 0.5000
0.5000 0.0000 0.5000
0.5000 0.5000 0.0000



[12]
La2IrW, relaxed, DFT GGA-PBE; relative energy among the computed polymorphs = 0.478 eV per atom; energy of formation from the pure elements = 0.43 eV per atom; crystal system = monoclinic
1.0
3.1245 -4.7826 0.0000
3.1245 4.7826 0.0000
-1.2214 0.0000 2.9064
La Ir W
2 1 1
direct
0.0000 0.5000 0.0000
0.5000 0.0000 0.0000
0.0000 0.0000 0.5000
0.5000 0.5000 0.5000



| no. | total magnetization (μB per cell) | E (eV for the cell shown) | theoretical density (g cm⁻³) |
| --- | --- | --- | --- |
| 1 | 0.00 | -35.11 | 15.05 |
| 2 | 0.00 | -34.05 | 16.30 |
| 3 | 0.00 | -31.78 | 10.06 |
| 4 | 0.00 | -30.43 | 11.50 |
| 5 | 0.00 | -30.28 | 11.66 |
| 6 | 1.62 | -29.50 | 10.57 |
| 7 | 0.00 | -30.28 | 12.62 |
| 8 | 0.00 | -35.34 | 15.36 |
| 9 | 1.34 | -34.50 | 15.68 |
| 10 | 1.04 | -30.08 | 11.67 |
| 11 | 2.11 | -45.89 | 12.65 |
| 12 | 0.00 | -29.97 | 12.50 |